# 1
First-principles (PBE) data for Mn2RuPb after structural relaxation, as listed in the Alexandria database.

Computed properties:
spin magnetization = 6.03 Bohr magnetons per cell
total DFT energy (no corrections) = -29.7 eV per cell
formation energy = 0.411 eV/atom
SG = P4mm (99)

Cell: 3.2737 3.2737 5.9830 Å, 90.00 90.00 90.00°
Closest atoms and distances in Å follow each position.
Positions (direct):
Mn 0.0000 0.0000 0.0000  4 Mn 2.62, 4 Ru 2.63, 1 Pb 2.93
Mn 0.5000 0.5000 0.2048  1 Ru 2.48, 4 Mn 2.62
Ru 0.5000 0.5000 0.7903  5 Mn 2.48-2.63
Pb 0.0000 0.0000 0.4900  6 Mn 2.88-3.05, 4 Ru 2.93

=====

# 2
First-principles (PBE) data for Nd5Dy2TmSc after structural relaxation, as listed in the Alexandria database.

Computed properties:
spin magnetization = 0.00 Bohr magnetons per cell
total DFT energy (no corrections) = -85.5 eV per cell
formation energy = 0.124 eV/atom
SG = Cmc2_1 (36)

Cell: 11.2622 11.2622 10.2314 Å, 90.00 90.00 152.41°
Closest atoms and distances in Å follow each position.
Positions (direct):
Nd 0.0001 0.9999 0.0000  2 Tm 3.39, 4 Dy 3.68-3.69, 6 Nd 3.71-3.78
Nd 0.9999 0.0001 0.5000  2 Tm 3.39, 4 Dy 3.68-3.69, 6 Nd 3.71-3.78
Nd 0.1273 0.8727 0.7502  1 Sc 3.52, 4 Dy 3.73, 6 Nd 3.78-3.87
Nd 0.2215 0.7785 0.0626  2 Nd 3.23, 1 Tm 3.25, 3 Sc 3.31-3.51, 2 Dy 3.60
Nd 0.2211 0.7789 0.4384  2 Nd 3.23, 1 Tm 3.25, 3 Sc 3.31-3.51, 2 Dy 3.60
Nd 0.5000 0.5000 0.2501  2 Tm 3.49, 4 Dy 3.58-3.61, 6 Nd 3.71-3.87
Nd 0.5000 0.5000 0.7501  2 Tm 3.49, 4 Dy 3.58-3.61, 6 Nd 3.71-3.87
Nd 0.7785 0.2215 0.5626  2 Nd 3.23, 1 Tm 3.25, 3 Sc 3.31-3.51, 2 Dy 3.60
Nd 0.7789 0.2211 0.9384  2 Nd 3.23, 1 Tm 3.25, 3 Sc 3.31-3.51, 2 Dy 3.60
Nd 0.8727 0.1273 0.2502  1 Sc 3.52, 4 Dy 3.73, 6 Nd 3.78-3.87
Dy 0.3845 0.6155 0.5019  1 Sc 3.31, 7 Nd 3.58-3.69
Dy 0.3848 0.6152 0.9983  1 Sc 3.30, 7 Nd 3.58-3.68
Dy 0.6155 0.3845 0.0019  1 Sc 3.31, 7 Nd 3.58-3.69
Dy 0.6152 0.3848 0.4983  1 Sc 3.30, 7 Nd 3.58-3.68
Tm 0.1017 0.8983 0.2501  6 Nd 3.25-3.49, 2 Sc 3.61
Tm 0.8983 0.1017 0.7501  6 Nd 3.25-3.49, 2 Sc 3.61
Sc 0.2880 0.7120 0.7505  2 Dy 3.30-3.31, 7 Nd 3.31-3.52, 2 Tm 3.61
Sc 0.7120 0.2880 0.2505  2 Dy 3.30-3.31, 7 Nd 3.31-3.52, 2 Tm 3.61

=====

# 3
First-principles (PBE) data for Na5BrO6 after structural relaxation, as listed in the Alexandria database.

Computed properties:
spin magnetization = 0.00 Bohr magnetons per cell
total DFT energy (no corrections) = -49.1 eV per cell
SG = C2/m (12)
energy relative to the elements, uncorrected = -924.8 meV per atom

Cell: 5.7124 5.7124 5.6548 Å, 100.69 100.69 119.30°
Closest atoms and distances in Å follow each position.
Positions (direct):
Na 0.0000 0.0000 0.0000  4 O 2.31
Na 0.1676 0.8324 0.5000  6 O 2.36-2.45
Na 0.3366 0.6634 0.0000  4 O 2.34-2.35
Na 0.6634 0.3366 0.0000  4 O 2.34-2.35
Na 0.8324 0.1676 0.5000  6 O 2.36-2.45
Br 0.5000 0.5000 0.5000  6 O 1.83-1.87
O 0.1650 0.4326 0.2897  1 Br 1.87
O 0.3038 0.3038 0.6906  1 Br 1.83
O 0.4326 0.1650 0.2897  1 Br 1.87
O 0.5674 0.8350 0.7103  1 Br 1.87
O 0.6962 0.6962 0.3094  1 Br 1.83
O 0.8350 0.5674 0.7103  1 Br 1.87